--- P ---
Ti2Pd4Au: optimized geometry, GGA-PBE.

Output
For the density of states at the Fermi level, the calculation gives 13.686 states/eV/cell.

Cell lengths 4.9393, 4.9393, 12.4998 Å; angles 90.00, 90.00, 90.00 degrees
Space group I4/mmm (No. 139)
Unique sites:
1 Ti 0.0000 0.0000 0.1012
2 Pd 0.0000 0.0000 0.2844
3 Pd 0.0000 0.5000 0.0000
4 Au 0.0000 0.0000 0.5000

***

--- Q ---
Ti2Pd4Au: optimized geometry, GGA-PBE.

Output
For the density of states at the Fermi level, the calculation gives 9.863 states/eV/cell.

Cell lengths 6.2160, 6.2886, 6.4547 Å; angles 70.93, 73.87, 71.84 degrees
Space group P1 (No. 1)
Unique sites:
1 Ti 0.0000 0.0000 0.0000
2 Ti 0.0503 0.6424 0.7591
3 Ti 0.1210 0.2728 0.5208
4 Ti 0.5187 0.5034 0.4658
5 Pd 0.2084 0.9114 0.3398
6 Pd 0.2647 0.5718 0.1169
7 Pd 0.3322 0.2395 0.8630
8 Pd 0.3933 0.8559 0.6956
9 Pd 0.7193 0.4129 0.8229
10 Pd 0.7882 0.0664 0.6179
11 Pd 0.8540 0.7028 0.4111
12 Pd 0.9214 0.3502 0.1829
13 Au 0.5565 0.1440 0.2628
14 Au 0.6362 0.7876 0.0377

***

--- R ---
Ti2Pd4Au: optimized geometry, GGA-PBE.

Output
For the density of states at the Fermi level, the calculation gives 17.519 states/eV/cell.

Cell lengths 4.4230, 4.4230, 19.7155 Å; angles 90.00, 90.00, 120.00 degrees
Space group R-3m (No. 166, hexagonal axes)
Unique sites:
1 Ti 0.0000 0.0000 0.0762
2 Pd 0.0000 0.0000 0.2213
3 Pd 0.0000 0.0000 0.3621
4 Au 0.0000 0.0000 0.5000

***

It turns out Q is the most stable, with the second structure 41 meV/atom higher.

***

--- P ---
TiPd4Au: optimized geometry, GGA-PBE.

Output
For the density of states at the Fermi level, the calculation gives 6.615 states/eV/cell.

Cell lengths 6.9589, 4.9209, 5.6060 Å; angles 90.00, 97.71, 90.00 degrees
Space group P2/c (No. 13)
Unique sites:
1 Ti 0.0000 0.1137 0.2500
2 Pd 0.1579 0.3947 0.9201
3 Pd 0.3176 0.0915 0.5851
4 Au 0.5000 0.4049 0.2500

***

--- Q ---
TiPd4Au: optimized geometry, GGA-PBE.

Output
For the density of states at the Fermi level, the calculation gives 17.900 states/eV/cell.

Cell lengths 5.6693, 7.8898, 8.4259 Å; angles 90.00, 90.00, 90.00 degrees
Space group Cmme (No. 67)
Unique sites:
1 Ti 0.0000 0.2500 0.1771
2 Pd 0.0000 0.2500 0.4929
3 Pd 0.2500 0.0000 0.0000
4 Pd 0.2500 0.0000 0.3317
5 Au 0.0000 0.2500 0.8347

***

It turns out Q is the most stable, with the second structure 37 meV/atom higher.

***

--- P ---
TiPd2Au2: optimized geometry, GGA-PBE.

Output
For the density of states at the Fermi level, the calculation gives 8.540 states/eV/cell.

Cell lengths 6.6451, 6.6451, 3.9735 Å; angles 90.00, 90.00, 90.00 degrees
Space group P4/mbm (No. 127)
Unique sites:
1 Ti 0.0000 0.0000 0.0000
2 Pd 0.1422 0.3578 0.0000
3 Au 0.1604 0.6604 0.5000

***

--- Q ---
TiPd2Au2: optimized geometry, GGA-PBE.

Output
For the density of states at the Fermi level, the calculation gives 9.443 states/eV/cell.

Cell lengths 6.9762, 6.9762, 3.6456 Å; angles 90.00, 90.00, 90.00 degrees
Space group P4/mbm (No. 127)
Unique sites:
1 Ti 0.0000 0.0000 0.0000
2 Pd 0.1576 0.3424 0.5000
3 Au 0.1420 0.6420 0.0000

***

It turns out P is the most stable, with the second structure 93 meV/atom higher.

***

--- P ---
TiPd2Au2: optimized geometry, GGA-PBE.

Output
For the density of states at the Fermi level, the calculation gives 11.375 states/eV/cell.

Cell lengths 7.6012, 8.2085, 5.6191 Å; angles 90.00, 95.26, 90.00 degrees
Space group P2_1/c (No. 14)
Unique sites:
1 Ti 0.1129 0.1109 0.2604
2 Pd 0.1604 0.0679 0.7721
3 Pd 0.3808 0.5342 0.6654
4 Au 0.1613 0.7137 0.9574
5 Au 0.4209 0.2131 0.5061

***

--- Q ---
TiPd2Au2: optimized geometry, GGA-PBE.

Output
For the density of states at the Fermi level, the calculation gives 6.266 states/eV/cell.

Cell lengths 4.9709, 4.6527, 7.4559 Å; angles 90.00, 108.60, 90.00 degrees
Space group P2_1/m (No. 11)
Unique sites:
1 Ti 0.0705 0.2500 0.3053
2 Pd 0.1336 0.7500 0.0950
3 Pd 0.3338 0.7500 0.4965
4 Au 0.2505 0.2500 0.6958
5 Au 0.4613 0.2500 0.1087

***

It turns out Q is the most stable, with the second structure 151 meV/atom higher.

***

--- P ---
TiPdAu4: optimized geometry, GGA-PBE.

Output
For the density of states at the Fermi level, the calculation gives 7.743 states/eV/cell.

Cell lengths 4.9724, 5.9472, 6.9540 Å; angles 90.00, 90.14, 90.00 degrees
Space group P2_1/m (No. 11)
Unique sites:
1 Ti 0.1599 0.2500 0.1699
2 Pd 0.0000 0.0000 0.5000
3 Au 0.1600 0.7500 0.1722
4 Au 0.3271 0.5029 0.8374
5 Au 0.4845 0.2500 0.4913

***

--- Q ---
TiPdAu4: optimized geometry, GGA-PBE.

Output
For the density of states at the Fermi level, the calculation gives 6.983 states/eV/cell.

Cell lengths 5.0279, 8.6748, 5.0210 Å; angles 90.00, 111.21, 90.00 degrees
Space group C2/m (No. 12)
Unique sites:
1 Ti 0.0000 0.0000 0.0000
2 Pd 0.0000 0.5000 0.5000
3 Au 0.0000 0.1618 0.5000
4 Au 0.0000 0.3343 0.0000

***

It turns out Q is the most stable, with the second structure 29 meV/atom higher.

***

--- P ---
TiPd5Au: optimized geometry, GGA-PBE.

Output
For the density of states at the Fermi level, the calculation gives 3.989 states/eV/cell.

Cell lengths 4.0057, 4.0057, 7.2745 Å; angles 90.00, 90.00, 90.00 degrees
Space group P4/mmm (No. 123)
Unique sites:
1 Ti 0.0000 0.0000 0.0000
2 Pd 0.0000 0.0000 0.5000
3 Pd 0.0000 0.5000 0.2153
4 Au 0.5000 0.5000 0.5000

***

--- Q ---
TiPd5Au: optimized geometry, GGA-PBE.

Output
For the density of states at the Fermi level, the calculation gives 10.011 states/eV/cell.

Cell lengths 9.4312, 5.2989, 9.3435 Å; angles 90.00, 95.26, 90.00 degrees
Space group C2/c (No. 15)
Unique sites:
1 Ti 0.0000 0.1923 0.2500
2 Pd 0.0000 0.2514 0.7500
3 Pd 0.1452 0.0218 0.5186
4 Pd 0.2190 0.4087 0.2135
5 Au 0.0000 0.5000 0.0000

***

It turns out P is the most stable, with the second structure 23 meV/atom higher.